1.
{
  "formula": "Y3PbO",
  "functional": "PBE",
  "state": "optimized geometry",
  "e_form_raw_mev_per_atom": -1339,
  "space_group": "No. 15",
  "lattice_angstrom": [[7.026, -5.707, 0.000], [7.026, 5.707, 0.000], [-2.102, 0.000, 6.831]],
  "species": ["Y", "Y", "Y", "Y", "Y", "Y", "Y", "Y", "Y", "Y", "Y", "Y", "Pb", "Pb", "Pb", "Pb", "O", "O", "O", "O"],
  "frac_coords": [[0.000, 0.296, 0.649], [0.000, 0.704, 0.351], [0.117, 0.648, 0.858], [0.296, 0.000, 0.149], [0.304, 0.390, 0.472], [0.352, 0.883, 0.642], [0.390, 0.304, 0.972], [0.610, 0.696, 0.028], [0.648, 0.117, 0.358], [0.696, 0.610, 0.528], [0.704, 0.000, 0.851], [0.883, 0.352, 0.142], [0.021, 0.979, 0.750], [0.356, 0.644, 0.250], [0.644, 0.356, 0.750], [0.979, 0.021, 0.250], [0.211, 0.405, 0.747], [0.405, 0.211, 0.247], [0.595, 0.789, 0.753], [0.789, 0.595, 0.253]]
}

=====

2.
{
  "formula": "Fe2BCl2",
  "functional": "PBE",
  "state": "optimized geometry",
  "polymorph_energy_mev_per_atom": 0,
  "e_form_raw_mev_per_atom": 1093,
  "space_group": "No. 127",
  "lattice_angstrom": [[7.275, 0.000, 0.000], [0.000, 7.275, 0.000], [0.000, 0.000, 2.853]],
  "species": ["Fe", "Fe", "Fe", "Fe", "B", "B", "Cl", "Cl", "Cl", "Cl"],
  "frac_coords": [[0.177, 0.323, 0.000], [0.323, 0.823, 0.000], [0.677, 0.177, 0.000], [0.823, 0.677, 0.000], [0.000, 0.000, 0.500], [0.500, 0.500, 0.500], [0.138, 0.638, 0.500], [0.362, 0.138, 0.500], [0.638, 0.862, 0.500], [0.862, 0.362, 0.500]]
}

=====

3.
{
  "formula": "Y3HoCo",
  "functional": "PBE",
  "state": "optimized geometry",
  "polymorph_energy_mev_per_atom": 108,
  "formation_energy_ev_per_fu": 0.03,
  "space_group": "No. 221",
  "lattice_angstrom": [[5.289, 0.000, 0.000], [0.000, 5.289, 0.000], [0.000, 0.000, 5.289]],
  "species": ["Y", "Y", "Y", "Ho", "Co"],
  "frac_coords": [[0.000, 0.000, 0.500], [0.000, 0.500, 0.000], [0.500, 0.000, 0.000], [0.500, 0.500, 0.500], [0.000, 0.000, 0.000]]
}

=====

4.
{
  "formula": "TbSmDy2Sb4",
  "functional": "PBE",
  "state": "optimized geometry",
  "e_form_raw_mev_per_atom": -1146,
  "space_group": "No. 10",
  "lattice_angstrom": [[7.639, 0.000, 0.000], [0.000, 4.414, 0.000], [-2.547, 0.000, 7.202]],
  "species": ["Tb", "Sm", "Dy", "Dy", "Sb", "Sb", "Sb", "Sb"],
  "frac_coords": [[0.000, 0.000, 0.000], [0.000, 0.500, 0.500], [0.500, 0.000, 0.500], [0.500, 0.500, 0.000], [0.253, 0.500, 0.249], [0.254, 0.000, 0.753], [0.746, 0.000, 0.247], [0.747, 0.500, 0.751]]
}

=====

5.
{
  "formula": "YIn4Ni4",
  "functional": "PBE",
  "state": "optimized geometry",
  "formation_energy_ev_per_fu": -0.35,
  "space_group": "No. 86",
  "lattice_angstrom": [[8.389, 0.000, 0.000], [0.000, 8.389, 0.000], [0.000, 0.000, 5.169]],
  "species": ["Y", "Y", "In", "In", "In", "In", "In", "In", "In", "In", "Ni", "Ni", "Ni", "Ni", "Ni", "Ni", "Ni", "Ni"],
  "frac_coords": [[0.250, 0.250, 0.250], [0.750, 0.750, 0.750], [0.089, 0.640, 0.142], [0.140, 0.911, 0.642], [0.360, 0.589, 0.642], [0.411, 0.860, 0.142], [0.589, 0.140, 0.858], [0.640, 0.411, 0.358], [0.860, 0.089, 0.358], [0.911, 0.360, 0.858], [0.047, 0.604, 0.641], [0.104, 0.953, 0.141], [0.396, 0.547, 0.141], [0.453, 0.896, 0.641], [0.547, 0.104, 0.359], [0.604, 0.453, 0.859], [0.896, 0.047, 0.859], [0.953, 0.396, 0.359]]
}

=====

6.
{
  "formula": "AcHo2Te4",
  "functional": "PBE",
  "state": "optimized geometry",
  "e_form_raw_mev_per_atom": -1436,
  "space_group": "No. 63",
  "lattice_angstrom": [[2.215, -7.165, 0.000], [2.215, 7.165, 0.000], [0.000, 0.000, 15.041]],
  "species": ["Ac", "Ac", "Ho", "Ho", "Ho", "Ho", "Te", "Te", "Te", "Te", "Te", "Te", "Te", "Te"],
  "frac_coords": [[0.121, 0.879, 0.750], [0.879, 0.121, 0.250], [0.370, 0.630, 0.563], [0.370, 0.630, 0.937], [0.630, 0.370, 0.063], [0.630, 0.370, 0.437], [0.000, 0.000, 0.000], [0.000, 0.000, 0.500], [0.270, 0.730, 0.118], [0.270, 0.730, 0.382], [0.448, 0.552, 0.750], [0.552, 0.448, 0.250], [0.730, 0.270, 0.618], [0.730, 0.270, 0.882]]
}

=====

7.
{
  "formula": "UCdCl6",
  "functional": "PBE",
  "state": "optimized geometry",
  "e_form_raw_mev_per_atom": -1447,
  "space_group": "No. 2",
  "lattice_angstrom": [[6.669, 0.000, 0.000], [-3.332, 5.782, 0.000], [-3.333, -1.927, 6.124]],
  "species": ["U", "Cd", "Cl", "Cl", "Cl", "Cl", "Cl", "Cl"],
  "frac_coords": [[0.000, 0.000, 0.000], [0.000, 0.500, 0.500], [0.147, 0.902, 0.750], [0.151, 0.755, 0.249], [0.494, 0.396, 0.249], [0.506, 0.604, 0.751], [0.849, 0.245, 0.751], [0.853, 0.098, 0.250]]
}

=====

8.
{
  "formula": "HfZrC",
  "functional": "PBE",
  "state": "optimized geometry",
  "polymorph_energy_mev_per_atom": 28,
  "formation_energy_ev_per_fu": -1.81,
  "space_group": "No. 12",
  "lattice_angstrom": [[6.101, -1.654, 0.000], [6.101, 1.654, 0.000], [-2.682, 0.000, 5.071]],
  "species": ["Hf", "Hf", "Zr", "Zr", "C", "C"],
  "frac_coords": [[0.134, 0.134, 0.469], [0.866, 0.866, 0.531], [0.369, 0.369, 0.036], [0.631, 0.631, 0.964], [0.251, 0.251, 0.255], [0.749, 0.749, 0.745]]
}

=====

9.
{
  "formula": "SbTeOF2",
  "functional": "PBE",
  "state": "optimized geometry",
  "polymorph_energy_mev_per_atom": 339,
  "e_form_raw_mev_per_atom": -595,
  "space_group": "No. 123",
  "lattice_angstrom": [[4.793, 0.000, 0.000], [0.000, 4.793, 0.000], [0.000, 0.000, 4.094]],
  "species": ["Sb", "Te", "O", "F", "F"],
  "frac_coords": [[0.000, 0.000, 0.000], [0.500, 0.500, 0.500], [0.500, 0.500, 0.000], [0.000, 0.500, 0.500], [0.500, 0.000, 0.500]]
}

=====

10.
{
  "formula": "CuPt2W",
  "functional": "PBE",
  "state": "optimized geometry",
  "polymorph_energy_mev_per_atom": 64,
  "formation_energy_ev_per_fu": -0.81,
  "space_group": "No. 10",
  "lattice_angstrom": [[2.773, 0.000, 0.000], [0.000, 3.909, 0.000], [-0.014, 0.000, 5.467]],
  "species": ["Cu", "Pt", "Pt", "W"],
  "frac_coords": [[0.000, 0.000, 0.000], [0.499, 0.500, 0.250], [0.501, 0.500, 0.750], [0.000, 0.000, 0.500]]
}

=====

11.
{
  "formula": "Er5Cd2In",
  "functional": "PBE",
  "state": "optimized geometry",
  "formation_energy_ev_per_fu": -1.90,
  "space_group": "No. 140",
  "lattice_angstrom": [[-4.104, 4.104, 6.545], [4.104, -4.104, 6.545], [4.104, 4.104, -6.545]],
  "species": ["Er", "Er", "Er", "Er", "Er", "Er", "Er", "Er", "Er", "Er", "Cd", "Cd", "Cd", "Cd", "In", "In"],
  "frac_coords": [[0.000, 0.000, 0.000], [0.001, 0.501, 0.809], [0.192, 0.001, 0.500], [0.308, 0.808, 0.809], [0.499, 0.308, 0.500], [0.500, 0.500, 0.000], [0.501, 0.692, 0.500], [0.692, 0.192, 0.191], [0.808, 0.999, 0.500], [0.999, 0.499, 0.191], [0.137, 0.363, 0.500], [0.363, 0.863, 0.225], [0.637, 0.137, 0.775], [0.863, 0.637, 0.500], [0.250, 0.250, 0.000], [0.750, 0.750, 0.000]]
}

=====

12.
{
  "formula": "Li6NO2",
  "functional": "PBE",
  "state": "optimized geometry",
  "e_form_raw_mev_per_atom": -1084,
  "space_group": "No. 14",
  "lattice_angstrom": [[5.253, 0.000, 0.000], [0.000, 4.302, 0.000], [-4.768, 0.000, 8.747]],
  "species": ["Li", "Li", "Li", "Li", "Li", "Li", "Li", "Li", "Li", "Li", "Li", "Li", "N", "N", "O", "O", "O", "O"],
  "frac_coords": [[0.009, 0.249, 0.172], [0.009, 0.251, 0.672], [0.344, 0.717, 0.176], [0.344, 0.783, 0.676], [0.345, 0.164, 0.506], [0.345, 0.336, 0.006], [0.655, 0.664, 0.994], [0.655, 0.836, 0.494], [0.656, 0.217, 0.324], [0.656, 0.283, 0.824], [0.991, 0.749, 0.328], [0.991, 0.751, 0.828], [0.000, 0.000, 0.500], [0.000, 0.500, 0.000], [0.312, 0.510, 0.819], [0.312, 0.990, 0.319], [0.688, 0.010, 0.681], [0.688, 0.490, 0.181]]
}

=====

13.
{
  "formula": "Ti2BePtC",
  "functional": "PBE",
  "state": "optimized geometry",
  "formation_energy_ev_per_fu": -3.17,
  "space_group": "No. 123",
  "lattice_angstrom": [[4.245, 0.000, 0.000], [0.000, 4.245, 0.000], [0.000, 0.000, 3.480]],
  "species": ["Ti", "Ti", "Be", "Pt", "C"],
  "frac_coords": [[0.000, 0.500, 0.000], [0.500, 0.000, 0.000], [0.000, 0.000, 0.500], [0.500, 0.500, 0.500], [0.000, 0.000, 0.000]]
}

=====

14.
{
  "formula": "La5Rh2Au2",
  "functional": "PBE",
  "state": "optimized geometry",
  "formation_energy_ev_per_fu": -6.45,
  "space_group": "No. 64",
  "lattice_angstrom": [[7.855, -3.952, 0.000], [7.855, 3.952, 0.000], [0.000, 0.000, 7.952]],
  "species": ["La", "La", "La", "La", "La", "La", "La", "La", "La", "La", "Rh", "Rh", "Rh", "Rh", "Au", "Au", "Au", "Au"],
  "frac_coords": [[0.000, 0.000, 0.000], [0.043, 0.699, 0.670], [0.199, 0.543, 0.170], [0.301, 0.957, 0.670], [0.457, 0.801, 0.170], [0.500, 0.500, 0.500], [0.543, 0.199, 0.830], [0.699, 0.043, 0.330], [0.801, 0.457, 0.830], [0.957, 0.301, 0.330], [0.135, 0.865, 0.367], [0.365, 0.635, 0.867], [0.635, 0.365, 0.133], [0.865, 0.135, 0.633], [0.209, 0.209, 0.000], [0.291, 0.291, 0.500], [0.709, 0.709, 0.500], [0.791, 0.791, 0.000]]
}

=====

15.
{
  "formula": "NaCa5Mg",
  "functional": "PBE",
  "state": "optimized geometry",
  "formation_energy_ev_per_fu": 0.70,
  "space_group": "No. 15",
  "lattice_angstrom": [[4.726, -4.974, 0.000], [4.726, 4.974, 0.000], [-3.840, 0.000, 11.860]],
  "species": ["Na", "Na", "Ca", "Ca", "Ca", "Ca", "Ca", "Ca", "Ca", "Ca", "Ca", "Ca", "Mg", "Mg"],
  "frac_coords": [[0.000, 0.000, 0.000], [0.000, 0.000, 0.500], [0.003, 0.406, 0.839], [0.142, 0.858, 0.750], [0.243, 0.532, 0.467], [0.406, 0.003, 0.339], [0.468, 0.757, 0.033], [0.532, 0.243, 0.967], [0.594, 0.997, 0.661], [0.757, 0.468, 0.533], [0.858, 0.142, 0.250], [0.997, 0.594, 0.161], [0.487, 0.513, 0.750], [0.513, 0.487, 0.250]]
}

=====

16.
{
  "formula": "CaZrAu2",
  "functional": "PBE",
  "state": "optimized geometry",
  "formation_energy_ev_per_fu": -2.42,
  "space_group": "No. 123",
  "lattice_angstrom": [[3.486, 0.000, 0.000], [0.000, 3.486, 0.000], [0.000, 0.000, 7.322]],
  "species": ["Ca", "Zr", "Au", "Au"],
  "frac_coords": [[0.000, 0.000, 0.000], [0.000, 0.000, 0.500], [0.500, 0.500, 0.282], [0.500, 0.500, 0.718]]
}

=====

17.
{
  "formula": "ScPaInTc",
  "functional": "PBE",
  "state": "optimized geometry",
  "polymorph_energy_mev_per_atom": 0,
  "formation_energy_ev_per_fu": -1.34,
  "space_group": "No. 99",
  "lattice_angstrom": [[3.298, 0.000, 0.000], [0.000, 3.298, 0.000], [0.000, 0.000, 7.939]],
  "species": ["Sc", "Pa", "In", "Tc"],
  "frac_coords": [[0.000, 0.000, 0.000], [0.000, 0.000, 0.584], [0.500, 0.500, 0.270], [0.500, 0.500, 0.798]]
}

=====

18.
{
  "formula": "Ac2ZrPdS5",
  "functional": "PBE",
  "state": "optimized geometry",
  "e_form_raw_mev_per_atom": -1708,
  "space_group": "No. 36",
  "lattice_angstrom": [[2.002, -8.623, 0.000], [2.002, 8.623, 0.000], [0.000, 0.000, 12.017]],
  "species": ["Ac", "Ac", "Ac", "Ac", "Zr", "Zr", "Pd", "Pd", "S", "S", "S", "S", "S", "S", "S", "S", "S", "S"],
  "frac_coords": [[0.114, 0.886, 0.500], [0.124, 0.876, 0.124], [0.876, 0.124, 0.624], [0.886, 0.114, 0.000], [0.186, 0.814, 0.818], [0.814, 0.186, 0.318], [0.427, 0.573, 0.247], [0.573, 0.427, 0.747], [0.046, 0.954, 0.862], [0.292, 0.708, 0.468], [0.300, 0.700, 0.169], [0.346, 0.654, 0.815], [0.497, 0.503, 0.577], [0.503, 0.497, 0.077], [0.654, 0.346, 0.315], [0.700, 0.300, 0.669], [0.708, 0.292, 0.968], [0.954, 0.046, 0.362]]
}

=====

19.
{
  "formula": "CaPtW",
  "functional": "PBE",
  "state": "optimized geometry",
  "formation_energy_ev_per_fu": 5.06,
  "space_group": "No. 194",
  "lattice_angstrom": [[5.260, 0.000, 0.000], [-2.630, 4.555, 0.000], [0.000, 0.000, 9.549]],
  "species": ["Ca", "Ca", "Pt", "Pt", "W", "W"],
  "frac_coords": [[0.333, 0.667, 0.250], [0.667, 0.333, 0.750], [0.000, 0.000, 0.000], [0.000, 0.000, 0.500], [0.000, 0.000, 0.250], [0.000, 0.000, 0.750]]
}

=====

20.
{
  "formula": "CePuSnPb",
  "functional": "PBE",
  "state": "optimized geometry",
  "polymorph_energy_mev_per_atom": 113,
  "formation_energy_ev_per_fu": -1.13,
  "space_group": "No. 216",
  "lattice_angstrom": [[0.000, 3.860, 3.860], [3.860, 0.000, 3.860], [3.860, 3.860, 0.000]],
  "species": ["Ce", "Pu", "Sn", "Pb"],
  "frac_coords": [[0.000, 0.000, 0.000], [0.500, 0.500, 0.500], [0.750, 0.750, 0.750], [0.250, 0.250, 0.250]]
}